## RbSiAgO3 (PBE-GGA)

Data for an optimized crystal structure of RbSiAgO3.

The structure in POSCAR format:
```
RbSiAgO3
1.0
5.5548 -3.0945 0.0000
5.5548 3.0945 0.0000
-2.8893 0.0000 7.5841
Rb Si Ag O
2 2 2 6
Cartesian
1.6216 0.0000 0.9336
6.5986 0.0000 6.6505
2.9494 0.0000 6.3948
5.2708 0.0000 1.1892
4.1101 1.5107 3.7920
4.1101 -1.5107 3.7920
3.1539 1.4096 5.6400
5.0663 1.4096 1.9441
1.4929 0.0000 7.2920
6.7273 0.0000 0.2921
3.1539 -1.4096 5.6400
5.0663 -1.4096 1.9441
```

Fermi-level density of states   0.00 states/eV per cell
Uncorrected formation energy   -1831 meV/atom
V   21.7 Å³ per atom